1.
Compound: NaP2SeCl
Source: Alexandria via LeMat-Bulk
Functional: SCAN
Structure: single point on PBEsol structure

Cell lengths 4.569, 4.569, 6.796 Å; angles 90.00, 90.00, 90.00 degrees
Sites, in units of the cell vectors:
Na 0.000 0.000 0.000
P 0.000 0.500 0.500
P 0.500 0.000 0.500
Se 0.500 0.500 0.500
Cl 0.500 0.500 0.000

Values from the calculation:
For the calculated total energy, the calculation gives -10.297 eV/atom. As for the crystal system: tetragonal. The formation energy (no corrections) comes out at 1.6 eV per formula unit.

2.
Compound: NaP2SeCl
Source: Alexandria via LeMat-Bulk
Functional: SCAN
Structure: single point on PBEsol structure

Cell lengths 4.986, 4.986, 4.517 Å; angles 90.00, 90.00, 90.00 degrees
Sites, in units of the cell vectors:
Na 0.000 0.000 0.000
P 0.000 0.500 0.000
P 0.500 0.000 0.000
Se 0.500 0.500 0.500
Cl 0.000 0.000 0.500

Values from the calculation:
For the calculated total energy, the calculation gives -9.493 eV/atom. As for the crystal system: tetragonal. The formation energy (no corrections) comes out at 5.6 eV per formula unit.

3.
Compound: NaSiPCl2
Source: Alexandria via LeMat-Bulk
Functional: SCAN
Structure: single point on PBEsol structure

Cell lengths 4.756, 4.756, 5.281 Å; angles 90.00, 90.00, 90.00 degrees
Sites, in units of the cell vectors:
Na 0.000 0.000 0.000
Si 0.500 0.500 0.500
P 0.000 0.000 0.500
Cl 0.000 0.500 0.000
Cl 0.500 0.000 0.000

Values from the calculation:
For the calculated total energy, the calculation gives -7.688 eV/atom. As for the crystal system: tetragonal. The formation energy (no corrections) comes out at 2.1 eV per formula unit.

4.
Compound: NaSnPCl2
Source: Alexandria via LeMat-Bulk
Functional: SCAN
Structure: single point on PBEsol structure

Cell lengths 5.338, 5.338, 5.085 Å; angles 90.00, 90.00, 90.00 degrees
Sites, in units of the cell vectors:
Na 0.000 0.000 0.000
Sn 0.500 0.500 0.500
P 0.500 0.500 0.000
Cl 0.000 0.500 0.500
Cl 0.500 0.000 0.500

Values from the calculation:
For the calculated total energy, the calculation gives -13.741 eV/atom. As for the crystal system: tetragonal. The formation energy (no corrections) comes out at -2.2 eV per formula unit.

5.
Compound: NaSrP2Cl
Source: Alexandria via LeMat-Bulk
Functional: SCAN
Structure: single point on PBEsol structure

Cell lengths 4.854, 4.854, 5.217 Å; angles 90.00, 90.00, 90.00 degrees
Sites, in units of the cell vectors:
Na 0.000 0.000 0.000
Sr 0.500 0.500 0.500
P 0.000 0.500 0.000
P 0.500 0.000 0.000
Cl 0.000 0.000 0.500

Values from the calculation:
For the calculated total energy, the calculation gives -11.245 eV/atom. As for the crystal system: tetragonal. The formation energy (no corrections) comes out at -1.0 eV per formula unit.

6.
Compound: NaTaP2Cl
Source: Alexandria via LeMat-Bulk
Functional: SCAN
Structure: single point on PBEsol structure

Cell lengths 4.773, 4.773, 5.008 Å; angles 90.00, 90.00, 90.00 degrees
Sites, in units of the cell vectors:
Na 0.000 0.000 0.000
Ta 0.500 0.500 0.500
P 0.000 0.500 0.500
P 0.500 0.000 0.500
Cl 0.500 0.500 0.000

Values from the calculation:
For the calculated total energy, the calculation gives -20.351 eV/atom. As for the crystal system: tetragonal. The formation energy (no corrections) comes out at -2.2 eV per formula unit.

7.
Compound: NaYPCl2
Source: Alexandria via LeMat-Bulk
Functional: SCAN
Structure: single point on PBEsol structure

Cell lengths 5.217, 5.217, 5.396 Å; angles 90.00, 90.00, 90.00 degrees
Sites, in units of the cell vectors:
Na 0.000 0.000 0.000
Y 0.500 0.500 0.500
P 0.500 0.500 0.000
Cl 0.000 0.500 0.500
Cl 0.500 0.000 0.500

Values from the calculation:
For the calculated total energy, the calculation gives -13.052 eV/atom. As for the crystal system: tetragonal. The formation energy (no corrections) comes out at -6.8 eV per formula unit.

8.
Compound: NaZnP2Cl
Source: Alexandria via LeMat-Bulk
Functional: SCAN
Structure: single point on PBEsol structure

Cell lengths 4.952, 4.952, 4.794 Å; angles 90.00, 90.00, 90.00 degrees
Sites, in units of the cell vectors:
Na 0.000 0.000 0.000
Zn 0.500 0.500 0.500
P 0.000 0.500 0.000
P 0.500 0.000 0.000
Cl 0.000 0.000 0.500

Values from the calculation:
For the calculated total energy, the calculation gives -8.331 eV/atom. As for the crystal system: tetragonal. The formation energy (no corrections) comes out at 4.8 eV per formula unit.

9.
Compound: NaPb3Cl
Source: Alexandria via LeMat-Bulk
Functional: SCAN
Structure: single point on PBEsol structure

Cell lengths 5.531, 5.531, 5.531 Å; angles 90.00, 90.00, 90.00 degrees
Sites, in units of the cell vectors:
Na 0.000 0.000 0.000
Pb 0.000 0.500 0.500
Pb 0.500 0.000 0.500
Pb 0.500 0.500 0.000
Cl 0.500 0.500 0.500

Values from the calculation:
For the calculated total energy, the calculation gives -47.843 eV/atom. As for the crystal system: cubic. The formation energy (no corrections) comes out at 0.3 eV per formula unit.

10.
Compound: NaRhPb2Cl
Source: Alexandria via LeMat-Bulk
Functional: SCAN
Structure: single point on PBEsol structure

Cell lengths 5.387, 5.387, 4.579 Å; angles 90.00, 90.00, 90.00 degrees
Sites, in units of the cell vectors:
Na 0.000 0.000 0.000
Rh 0.500 0.500 0.000
Pb 0.000 0.500 0.500
Pb 0.500 0.000 0.500
Cl 0.000 0.000 0.500

Values from the calculation:
For the calculated total energy, the calculation gives -39.106 eV/atom. As for the crystal system: tetragonal. The formation energy (no corrections) comes out at 2.0 eV per formula unit.

11.
Compound: Na2PdCl4
Source: Alexandria via LeMat-Bulk
Functional: SCAN
Structure: single point on PBEsol structure

Cell lengths 9.480, 9.480, 7.492 Å; angles 90.00, 90.00, 90.00 degrees
Sites, in units of the cell vectors:
Na 0.050 0.550 0.250
Na 0.050 0.950 0.750
Na 0.450 0.550 0.750
Na 0.450 0.950 0.250
Na 0.550 0.050 0.750
Na 0.550 0.450 0.250
Na 0.950 0.050 0.250
Na 0.950 0.450 0.750
Pd 0.250 0.250 0.059
Pd 0.250 0.250 0.559
Pd 0.750 0.750 0.441
Pd 0.750 0.750 0.941
Cl 0.013 0.200 0.563
Cl 0.013 0.300 0.063
Cl 0.200 0.013 0.063
Cl 0.200 0.487 0.563
Cl 0.300 0.013 0.563
Cl 0.300 0.487 0.063
Cl 0.487 0.200 0.063
Cl 0.487 0.300 0.563
Cl 0.513 0.700 0.437
Cl 0.513 0.800 0.937
Cl 0.700 0.513 0.937
Cl 0.700 0.987 0.437
Cl 0.800 0.513 0.437
Cl 0.800 0.987 0.937
Cl 0.987 0.700 0.937
Cl 0.987 0.800 0.437

Values from the calculation:
For the calculated total energy, the calculation gives -11.868 eV/atom. As for the crystal system: tetragonal. The formation energy (no corrections) comes out at -10.0 eV per formula unit.

12.
Compound: NaPd3Cl
Source: Alexandria via LeMat-Bulk
Functional: SCAN
Structure: single point on PBEsol structure

Cell lengths 4.526, 4.526, 4.526 Å; angles 90.00, 90.00, 90.00 degrees
Sites, in units of the cell vectors:
Na 0.000 0.000 0.000
Pd 0.000 0.500 0.500
Pd 0.500 0.000 0.500
Pd 0.500 0.500 0.000
Cl 0.500 0.500 0.500

Values from the calculation:
For the calculated total energy, the calculation gives -22.015 eV/atom. As for the crystal system: cubic. The formation energy (no corrections) comes out at 0.4 eV per formula unit.

13.
Compound: NaPdCl2
Source: Alexandria via LeMat-Bulk
Functional: SCAN
Structure: single point on PBEsol structure

Cell lengths 3.629, 3.629, 23.434 Å; angles 90.00, 90.00, 120.00 degrees
Sites, in units of the cell vectors:
Na 0.000 0.000 0.000
Na 0.333 0.667 0.667
Na 0.667 0.333 0.333
Pd 0.000 0.000 0.500
Pd 0.333 0.667 0.167
Pd 0.667 0.333 0.833
Cl 0.000 0.000 0.404
Cl 0.000 0.000 0.596
Cl 0.333 0.667 0.071
Cl 0.333 0.667 0.263
Cl 0.667 0.333 0.737
Cl 0.667 0.333 0.929

Values from the calculation:
For the calculated total energy, the calculation gives -14.151 eV/atom. As for the crystal system: trigonal. The formation energy (no corrections) comes out at -3.7 eV per formula unit.

14.
Compound: NaPdCl2
Source: Alexandria via LeMat-Bulk
Functional: SCAN
Structure: single point on PBEsol structure

Cell lengths 5.355, 5.355, 13.711 Å; angles 90.00, 90.00, 90.00 degrees
Sites, in units of the cell vectors:
Na 0.000 0.000 0.000
Na 0.000 0.500 0.250
Na 0.500 0.000 0.750
Na 0.500 0.500 0.500
Pd 0.000 0.000 0.500
Pd 0.000 0.500 0.750
Pd 0.500 0.000 0.250
Pd 0.500 0.500 0.000
Cl 0.205 0.250 0.625
Cl 0.250 0.705 0.875
Cl 0.250 0.795 0.375
Cl 0.295 0.250 0.125
Cl 0.705 0.750 0.125
Cl 0.750 0.205 0.375
Cl 0.750 0.295 0.875
Cl 0.795 0.750 0.625

Values from the calculation:
For the calculated total energy, the calculation gives -14.117 eV/atom. As for the crystal system: tetragonal. The formation energy (no corrections) comes out at -3.5 eV per formula unit.

15.
Compound: Na2TaPdCl
Source: Alexandria via LeMat-Bulk
Functional: SCAN
Structure: single point on PBEsol structure

Cell lengths 5.390, 5.390, 4.787 Å; angles 90.00, 90.00, 90.00 degrees
Sites, in units of the cell vectors:
Na 0.000 0.500 0.000
Na 0.500 0.000 0.000
Ta 0.000 0.000 0.500
Pd 0.000 0.000 0.000
Cl 0.500 0.500 0.500

Values from the calculation:
For the calculated total energy, the calculation gives -22.706 eV/atom. As for the crystal system: tetragonal. The formation energy (no corrections) comes out at 2.2 eV per formula unit.

16.
Compound: NaPtCl2
Source: Alexandria via LeMat-Bulk
Functional: SCAN
Structure: single point on PBEsol structure

Cell lengths 6.566, 6.566, 6.566 Å; angles 90.00, 90.00, 90.00 degrees
Sites, in units of the cell vectors:
Na 0.000 0.000 0.000
Na 0.000 0.500 0.500
Na 0.500 0.000 0.500
Na 0.500 0.500 0.000
Pt 0.000 0.000 0.500
Pt 0.000 0.500 0.000
Pt 0.500 0.000 0.000
Pt 0.500 0.500 0.500
Cl 0.250 0.250 0.250
Cl 0.250 0.250 0.750
Cl 0.250 0.750 0.250
Cl 0.250 0.750 0.750
Cl 0.750 0.250 0.250
Cl 0.750 0.250 0.750
Cl 0.750 0.750 0.250
Cl 0.750 0.750 0.750

Values from the calculation:
For the calculated total energy, the calculation gives -22.886 eV/atom. As for the crystal system: cubic. The formation energy (no corrections) comes out at -1.2 eV per formula unit.

17.
Compound: NaSn2PtCl
Source: Alexandria via LeMat-Bulk
Functional: SCAN
Structure: single point on PBEsol structure

Cell lengths 4.992, 4.992, 5.708 Å; angles 90.00, 90.00, 90.00 degrees
Sites, in units of the cell vectors:
Na 0.000 0.000 0.000
Sn 0.000 0.500 0.500
Sn 0.500 0.000 0.500
Pt 0.000 0.000 0.500
Cl 0.500 0.500 0.000

Values from the calculation:
For the calculated total energy, the calculation gives -31.351 eV/atom. As for the crystal system: tetragonal. The formation energy (no corrections) comes out at -2.5 eV per formula unit.

18.
Compound: Rb3NaCl
Source: Alexandria via LeMat-Bulk
Functional: SCAN
Structure: single point on PBEsol structure

Cell lengths 6.506, 6.506, 6.506 Å; angles 90.00, 90.00, 90.00 degrees
Sites, in units of the cell vectors:
Rb 0.000 0.000 0.500
Rb 0.000 0.500 0.000
Rb 0.500 0.000 0.000
Na 0.500 0.500 0.500
Cl 0.000 0.000 0.000

Values from the calculation:
For the calculated total energy, the calculation gives -15.702 eV/atom. As for the crystal system: cubic. The formation energy (no corrections) comes out at -4.1 eV per formula unit.

19.
Compound: RbNaCl2
Source: Alexandria via LeMat-Bulk
Functional: SCAN
Structure: single point on PBEsol structure

Cell lengths 7.660, 7.660, 8.476 Å; angles 90.00, 90.00, 90.00 degrees
Sites, in units of the cell vectors:
Rb 0.000 0.000 0.000
Rb 0.000 0.500 0.250
Rb 0.500 0.000 0.750
Rb 0.500 0.500 0.500
Na 0.000 0.000 0.500
Na 0.000 0.500 0.750
Na 0.500 0.000 0.250
Na 0.500 0.500 0.000
Cl 0.198 0.750 0.625
Cl 0.250 0.198 0.375
Cl 0.250 0.302 0.875
Cl 0.302 0.750 0.125
Cl 0.698 0.250 0.125
Cl 0.750 0.698 0.875
Cl 0.750 0.802 0.375
Cl 0.802 0.250 0.625

Values from the calculation:
For the calculated total energy, the calculation gives -12.234 eV/atom. As for the crystal system: tetragonal. The formation energy (no corrections) comes out at -8.0 eV per formula unit.

20.
Compound: Rb2NaCl
Source: Alexandria via LeMat-Bulk
Functional: SCAN
Structure: single point on PBEsol structure

Cell lengths 9.467, 9.467, 10.312 Å; angles 90.00, 90.00, 90.00 degrees
Sites, in units of the cell vectors:
Rb 0.164 0.250 0.125
Rb 0.250 0.664 0.375
Rb 0.250 0.836 0.875
Rb 0.336 0.250 0.625
Rb 0.664 0.750 0.625
Rb 0.750 0.164 0.875
Rb 0.750 0.336 0.375
Rb 0.836 0.750 0.125
Na 0.000 0.000 0.500
Na 0.000 0.500 0.750
Na 0.500 0.000 0.250
Na 0.500 0.500 0.000
Cl 0.000 0.000 0.000
Cl 0.000 0.500 0.250
Cl 0.500 0.000 0.750
Cl 0.500 0.500 0.500

Values from the calculation:
For the calculated total energy, the calculation gives -14.340 eV/atom. As for the crystal system: tetragonal. The formation energy (no corrections) comes out at -3.7 eV per formula unit.